[1]
Compound: Th4ZnSb
Source: the Alexandria database
Functional: GGA-PBE
Structure: optimized geometry

Unit cell a=18.1287 b=5.5742 c=7.8050 alpha=90.00 beta=110.63 gamma=90.00
Space group C2/c (No. 15)
Unique sites:
Th  0.0810  0.2482  0.1778 [8 per cell]
Th  0.1876  0.2516  0.7944 [8 per cell]
Zn  0.2500  0.2500  0.5000 [4 per cell]
Sb  0.0000  0.2522  0.7500 [4 per cell]

## Properties
E above lowest polymorph, kJ per mole of atoms: 28.48
Spin magnetization, μB/f.u.: 0.00
DOS at the Fermi energy, states/eV/atom: 1.071

=====

[2]
Compound: CaPr2Sm
Source: the Alexandria database
Functional: GGA-PBE
Structure: optimized geometry

Unit cell a=3.7098 b=3.7098 c=36.8994 alpha=90.00 beta=90.00 gamma=120.00
Space group R3m (No. 160, hexagonal axes)
Unique sites:
Ca  0.0000  0.0000  0.0000 [3 per cell]
Pr  0.0000  0.0000  0.5792 [3 per cell]
Pr  0.0000  0.0000  0.7536 [3 per cell]
Sm  0.0000  0.0000  0.1662 [3 per cell]

## Properties
Energy of formation from the pure elements, eV/atom: 0.03
E above lowest polymorph, kJ per mole of atoms: 0.36
Spin magnetization, μB/f.u.: 0.00
DOS at the Fermi energy, states/eV/atom: 1.416

=====

[3]
Compound: MgCo2HgI
Source: the Alexandria database
Functional: GGA-PBE
Structure: optimized geometry

Unit cell a=4.9810 b=4.9810 c=5.2574 alpha=90.00 beta=90.00 gamma=90.00
Space group P4/mmm (No. 123)
Unique sites:
Mg  0.0000  0.0000  0.0000 [1 per cell]
Co  0.0000  0.5000  0.5000 [2 per cell]
Hg  0.0000  0.0000  0.5000 [1 per cell]
I  0.5000  0.5000  0.0000 [1 per cell]

## Properties
Total DFT energy (no corrections), Ha/atom: -0.09399
Spin magnetization, μB/f.u.: 4.11
DOS at the Fermi energy, states/eV/atom: 1.303

=====

[4]
Compound: ScCr2Rh
Source: the Alexandria database
Functional: GGA-PBE
Structure: optimized geometry

Unit cell a=2.7638 b=2.7638 c=26.4444 alpha=90.00 beta=90.00 gamma=120.00
Space group R-3m (No. 166, hexagonal axes)
Unique sites:
Sc  0.0000  0.0000  0.0000 [3 per cell]
Cr  0.0000  0.0000  0.2446 [6 per cell]
Rh  0.0000  0.0000  0.5000 [3 per cell]

## Properties
Energy of formation from the pure elements, eV/atom: 0.38
E above lowest polymorph, kJ per mole of atoms: 51.65
Spin magnetization, μB/f.u.: 0.00
DOS at the Fermi energy, states/eV/atom: 1.042

=====

> Which value of DOS at the Fermi energy does entry 1 give?

1.071 states/eV/atom

=====

What did the first record say?
Compound: Th4ZnSb
Source: the Alexandria database
Functional: GGA-PBE
Structure: optimized geometry

Unit cell a=18.1287 b=5.5742 c=7.8050 alpha=90.00 beta=110.63 gamma=90.00
Space group C2/c (No. 15)
Unique sites:
Th  0.0810  0.2482  0.1778 [8 per cell]
Th  0.1876  0.2516  0.7944 [8 per cell]
Zn  0.2500  0.2500  0.5000 [4 per cell]
Sb  0.0000  0.2522  0.7500 [4 per cell]

## Properties
E above lowest polymorph, kJ per mole of atoms: 28.48
Spin magnetization, μB/f.u.: 0.00
DOS at the Fermi energy, states/eV/atom: 1.071